Record 1
Ge3RuSe: relaxed, PBE.

Cell: 4.9704 4.9704 4.9704 Å, 90.00 90.00 90.00°
Positions (direct):
Ge (0.0000, 0.0000, 0.5000)
Ge (0.5000, 0.0000, 0.0000)
Ge (0.0000, 0.5000, 0.0000)
Ru (0.5000, 0.5000, 0.5000)
Se (0.0000, 0.0000, 0.0000)

total moment: 2.1 μB per cell
SG: Pm-3m, No. 221
ρ: 5.4 g cm⁻³
energy relative to the elements, uncorrected: 640 kJ/mol of formula units


Record 2
Th4GeRuSe2: relaxed, PBE.

Cell: 4.1542 7.4484 7.4185 Å, 108.64 90.00 90.00°
Positions (direct):
Th (0.0000, 0.7279, 0.2216)
Th (0.5000, 0.7450, 0.7654)
Th (0.5000, 0.2550, 0.2346)
Th (0.0000, 0.2721, 0.7784)
Se (0.5000, 0.0000, 0.5000)
Se (0.0000, 0.5000, 0.5000)
Ge (0.0000, 0.0000, 0.0000)
Ru (0.5000, 0.5000, 0.0000)

total moment: 0.0 μB per cell
SG: P2/m, No. 10
ρ: 9.6 g cm⁻³
energy relative to the elements, uncorrected: -851 kJ/mol of formula units


Record 3
Th8GeRu3Se4: relaxed, PBE.

Cell: 8.3271 8.6716 8.3275 Å, 118.70 120.00 90.00°
Positions (direct):
Th (0.7276, 0.7219, 0.9747)
Th (0.7528, 0.2782, 0.5057)
Th (0.2724, 0.2781, 0.0253)
Th (0.2472, 0.7219, 0.9747)
Th (0.2607, 0.2823, 0.5215)
Th (0.7393, 0.7177, 0.4785)
Th (0.7528, 0.2781, 0.0253)
Th (0.2472, 0.7218, 0.4943)
Ru (0.5000, 0.5000, 0.5000)
Ru (0.5000, 0.5000, 0.0000)
Ru (0.0000, 0.5000, 0.5000)
Se (0.0000, 0.0000, 0.5000)
Se (0.5000, 0.0000, 0.0000)
Se (0.0000, 0.0000, 0.0000)
Se (0.5000, 0.0000, 0.5000)
Ge (0.0000, 0.5000, 0.0000)

total moment: 0.0 μB per cell
SG: R-3m, No. 166
ρ: 9.8 g cm⁻³
energy relative to the elements, uncorrected: -1634 kJ/mol of formula units


Record 4
Si2GeRu: relaxed, PBE.

Cell: 5.4469 5.4469 6.7719 Å, 66.29 66.29 90.00°
Positions (direct):
Ge (0.5000, 0.5000, 0.0000)
Ge (0.2500, 0.7500, 0.5000)
Ru (0.0000, 0.0000, 0.0000)
Ru (0.7500, 0.2500, 0.5000)
Si (0.8750, 0.8966, 0.7500)
Si (0.3750, 0.3534, 0.7500)
Si (0.1034, 0.6250, 0.2500)
Si (0.6466, 0.1250, 0.2500)

total moment: 0.0 μB per cell
SG: I-42d, No. 122
ρ: 4.6 g cm⁻³
energy relative to the elements, uncorrected: 96 kJ/mol of formula units